# 1
La6Tc2OsBr3 | Alexandria | GGA-PBE | relaxed; SG = No. 12; total DFT energy (no corrections) = -6.217 eV/atom; V = 356.2 Å³/cell
1.0
-3.582 5.875 1.669
0.406 -5.020 4.976
7.687 3.028 0.706
La Tc Br Os
6 2 3 1
direct
0.249 0.249 0.780
0.595 0.926 0.813
0.405 0.074 0.187
0.751 0.751 0.220
0.074 0.405 0.187
0.926 0.595 0.813
0.376 0.624 0.000
0.624 0.376 0.000
0.176 0.824 0.500
0.824 0.176 0.500
0.500 0.500 0.500
0.000 0.000 0.000

---

# 2
SmDyGeRu | Alexandria | GGA-PBE | relaxed; SG = No. 38; ΔE_f = -2.39 eV/f.u.; total DFT energy (no corrections) = -6.402 eV/atom; V = 91.7 Å³/cell
1.0
-3.932 0.116 -1.720
-0.586 -3.672 1.091
-0.082 1.696 5.663
Ge Ru Dy Sm
1 1 1 1
direct
0.433 0.000 0.866
0.584 0.500 0.168
0.132 0.000 0.264
0.851 0.500 0.702

---

# 3
TbMg2Au | Alexandria | GGA-PBE | relaxed; SG = No. 123; ΔE_f = -1.31 eV/f.u.; total DFT energy (no corrections) = -3.102 eV/atom; V = 90.9 Å³/cell
1.0
-0.445 -1.346 -3.117
3.391 -0.020 -0.475
0.382 -7.131 3.026
Mg Au Tb
2 1 1
direct
0.000 0.000 0.197
0.000 0.000 0.803
0.500 0.500 0.000
0.500 0.500 0.500

---

Copy entry 2 word for word.
SmDyGeRu | Alexandria | GGA-PBE | relaxed; SG = No. 38; ΔE_f = -2.39 eV/f.u.; total DFT energy (no corrections) = -6.402 eV/atom; V = 91.7 Å³/cell
1.0
-3.932 0.116 -1.720
-0.586 -3.672 1.091
-0.082 1.696 5.663
Ge Ru Dy Sm
1 1 1 1
direct
0.433 0.000 0.866
0.584 0.500 0.168
0.132 0.000 0.264
0.851 0.500 0.702

---

Q: Look up the V of the second one.
A: 91.7 Å³/cell

---

Q: What is the total DFT energy (no corrections) in the first record?
A: -6.217 eV/atom

---

Q: Which of these has the highest total DFT energy (no corrections)?
A: TbMg2Au